Entry 1:
A geometry-optimized Zr3Sn2H2 structure. Source: Alexandria via LeMat-Bulk, functional PBE.

Computed properties:
**M_tot**: 0.00 μB/f.u.
**Uncorrected energy**: -6.117 eV per atom

Cell lengths 5.9049, 8.2677, 5.9417 Å; angles 90.00, 119.90, 90.00 degrees
Closest atoms and distances in Å follow each position.
Space group P2_1/c (No. 14)
Asymmetric unit:
Zr1 0.0000 0.0000 0.0000  2 H 2.04
Zr2 0.2535 0.1377 0.6457  2 H 2.04-2.12
Sn1 0.2642 0.7258 0.3378  2 H 2.76-2.92, 5 Zr 2.89-3.06, 2 Sn 3.00
H1 0.2678 0.1387 0.2967  3 Zr 2.04-2.12


Entry 2:
A geometry-optimized ZrSnH3 structure. Source: Alexandria via LeMat-Bulk, functional PBE.

Computed properties:
**Excess energy over the best structure of this formula in the dataset**: 0.00 eV/f.u.
**M_tot**: 0.00 μB/f.u.
**Uncorrected energy**: -4.529 eV per atom

Cell lengths 3.8955, 3.8955, 3.8955 Å; angles 90.00, 90.00, 90.00 degrees
Closest atoms and distances in Å follow each position.
Space group Pm-3m (No. 221)
Asymmetric unit:
Zr1 0.0000 0.0000 0.0000  6 H 1.95
Sn1 0.5000 0.5000 0.5000  12 H 2.75
H1 0.0000 0.0000 0.5000  2 Zr 1.95


Entry 3:
A geometry-optimized Zr2SnH structure. Source: Alexandria via LeMat-Bulk, functional PBE.

Computed properties:
**Excess energy over the best structure of this formula in the dataset**: 1.05 eV/f.u.
**M_tot**: 0.00 μB/f.u.
**Uncorrected energy**: -6.131 eV per atom

Cell lengths 5.6713, 5.6713, 10.0578 Å; angles 90.00, 90.00, 90.00 degrees
Closest atoms and distances in Å follow each position.
Space group I4_1/amd (No. 141, origin choice 2)
Asymmetric unit:
Zr1 0.0000 0.0000 0.0000  2 H 1.89
Sn1 0.0000 0.2500 0.3750  8 Zr 3.41, 4 H 3.79, 4 Sn 3.79
H1 0.0000 0.2500 0.8750  4 Zr 1.89


Entry 4:
A geometry-optimized ZrSn2H structure. Source: Alexandria via LeMat-Bulk, functional PBE.

Computed properties:
**Excess energy over the best structure of this formula in the dataset**: 3.18 eV/f.u.
**M_tot**: 0.52 μB/f.u.
**Uncorrected energy**: -4.456 eV per atom

Cell lengths 6.9644, 6.9644, 6.9644 Å; angles 90.00, 90.00, 90.00 degrees
Closest atoms and distances in Å follow each position.
Space group Fm-3m (No. 225)
Asymmetric unit:
Zr1 0.0000 0.0000 0.0000  8 Sn 3.02
Sn1 0.2500 0.2500 0.2500  4 Zr 3.02, 4 H 3.02
H1 0.0000 0.0000 0.5000  8 Sn 3.02


Entry 5:
A geometry-optimized ZrSn2H structure. Source: Alexandria via LeMat-Bulk, functional PBE.

Computed properties:
**Excess energy over the best structure of this formula in the dataset**: 0.00 eV/f.u.
**M_tot**: 0.00 μB/f.u.
**Uncorrected energy**: -5.250 eV per atom

Cell lengths 6.2510, 3.3144, 7.5396 Å; angles 90.00, 90.10, 90.00 degrees
Closest atoms and distances in Å follow each position.
Space group Cm (No. 8)
Asymmetric unit:
Zr1 0.0000 0.0000 0.0000  3 H 2.00-2.01
Sn1 0.3254 0.0000 0.6899  1 Sn 2.87, 2 H 3.01, 3 Zr 3.07-3.10
Sn2 0.3273 0.0000 0.3099  1 Sn 2.87, 2 H 3.01, 3 Zr 3.06-3.10
H1 0.1783 0.5000 0.9995  3 Zr 2.00-2.01


Entry 6:
A geometry-optimized Zr5Sn2H structure. Source: Alexandria via LeMat-Bulk, functional PBE.

Computed properties:
**M_tot**: 0.00 μB/f.u.
**Uncorrected energy**: -7.043 eV per atom

Cell lengths 6.4205, 6.4205, 8.2917 Å; angles 90.00, 90.00, 90.00 degrees
Closest atoms and distances in Å follow each position.
Space group I4mm (No. 107)
Asymmetric unit:
Zr1 0.0000 0.0000 0.0000  1 H 2.15
Zr2 0.2483 0.2483 0.7504  1 H 2.29
Sn1 0.0000 0.5000 0.4992  10 Zr 3.07-3.21
H1 0.0000 0.0000 0.2598  5 Zr 2.15-2.29


Entry 7:
A geometry-optimized Sr2H3 structure. Source: Alexandria via LeMat-Bulk, functional PBE.

Computed properties:
**M_tot**: 0.00 μB/f.u.
**Uncorrected energy**: -3.074 eV per atom

Cell lengths 6.4174, 6.4174, 15.8532 Å; angles 90.00, 90.00, 120.00 degrees
Closest atoms and distances in Å follow each position.
Space group R-3c (No. 167, hexagonal axes)
Asymmetric unit:
Sr1 0.0000 0.0000 0.1357  6 H 2.50-2.51
H1 0.0000 0.2694 0.2500  4 Sr 2.50-2.51


Entry 8:
A geometry-optimized SrH4 structure. Source: Alexandria via LeMat-Bulk, functional PBE.

Computed properties:
**M_tot**: 2.01 μB/f.u.
**Uncorrected energy**: -2.258 eV per atom

Cell lengths 4.6494, 4.6494, 4.6494 Å; angles 90.00, 90.00, 90.00 degrees
Closest atoms and distances in Å follow each position.
Space group Pm-3m (No. 221)
Asymmetric unit:
Sr1 0.0000 0.0000 0.0000  6 H 2.32
H1 0.0000 0.0000 0.5000  2 Sr 2.32
H2 0.5000 0.5000 0.5000  12 H 3.29